[1]
# PBE-GGA LaSm2ErS4, optimized geometry
data_LaSm2ErS4
_chemical_formula_sum 'La1 Sm2 Er1 S4'
_symmetry_space_group_name_H-M 'P 1 2/m 1'
_symmetry_Int_Tables_number 10
_cell_length_a 6.933
_cell_length_b 3.974
_cell_length_c 7.015
_cell_angle_alpha 90.00
_cell_angle_beta 109.01
_cell_angle_gamma 90.00
loop_
_symmetry_equiv_pos_as_xyz
'x,y,z'
'-x,-y,-z'
'-x,y,-z'
'x,-y,z'
loop_
_atom_site_label
_atom_site_type_symbol
_atom_site_fract_x
_atom_site_fract_y
_atom_site_fract_z
La1 La 0.000 0.000 0.000
Sm1 Sm 0.500 0.000 0.500
Sm2 Sm 0.500 0.500 0.000
Er1 Er 0.000 0.500 0.500
S1 S 0.243 0.000 0.737
S2 S 0.252 0.500 0.262
# - Magnetization: 0.0000 μB per atom


[2]
# PBE-GGA La2SmErS4, optimized geometry
data_La2SmErS4
_chemical_formula_sum 'La2 Sm1 Er1 S4'
_symmetry_space_group_name_H-M 'P 1 2/m 1'
_symmetry_Int_Tables_number 10
_cell_length_a 6.989
_cell_length_b 4.001
_cell_length_c 7.086
_cell_angle_alpha 90.00
_cell_angle_beta 108.96
_cell_angle_gamma 90.00
loop_
_symmetry_equiv_pos_as_xyz
'x,y,z'
'-x,-y,-z'
'-x,y,-z'
'x,-y,z'
loop_
_atom_site_label
_atom_site_type_symbol
_atom_site_fract_x
_atom_site_fract_y
_atom_site_fract_z
La1 La 0.000 0.000 0.000
La2 La 0.500 0.500 0.000
Sm1 Sm 0.000 0.500 0.500
Er1 Er 0.500 0.000 0.500
S1 S 0.251 0.000 0.734
S2 S 0.264 0.500 0.270
# - Magnetization: 0.0002 μB per atom


[3]
# PBE-GGA La3Sm3ErS8, optimized geometry
data_La3Sm3ErS8
_chemical_formula_sum 'La9 Sm9 Er3 S24'
_symmetry_space_group_name_H-M 'R -3 m'
_symmetry_Int_Tables_number 166
_symmetry_space_group_name_Hall '-R 3 2"'
_cell_length_a 8.0775
_cell_length_b 8.0775
_cell_length_c 20.1484
_cell_angle_alpha 90.00
_cell_angle_beta 90.00
_cell_angle_gamma 120.00
loop_
_atom_site_label
_atom_site_type_symbol
_atom_site_fract_x
_atom_site_fract_y
_atom_site_fract_z
La1 La 0.0000 0.5000 0.0000
Sm1 Sm 0.0000 0.5000 0.5000
Er1 Er 0.0000 0.0000 0.5000
S1 S 0.0000 0.0000 0.2467
S2 S 0.0090 0.5045 0.2445
# - Magnetization: 0.0000 μB per atom


[4]
# PBE-GGA La2Sm3ErS6, optimized geometry
data_La2Sm3ErS6
_chemical_formula_sum 'La4 Sm6 Er2 S12'
_symmetry_space_group_name_H-M 'C 1 2/m 1'
_symmetry_Int_Tables_number 12
_cell_length_a 17.558
_cell_length_b 4.016
_cell_length_c 8.124
_cell_angle_alpha 90.00
_cell_angle_beta 103.12
_cell_angle_gamma 90.00
loop_
_symmetry_equiv_pos_as_xyz
'x,y,z'
'-x,-y,-z'
'-x,y,-z'
'x,-y,z'
'x+1/2,y+1/2,z'
'-x+1/2,-y+1/2,-z'
'-x+1/2,y+1/2,-z'
'x+1/2,-y+1/2,z'
loop_
_atom_site_label
_atom_site_type_symbol
_atom_site_fract_x
_atom_site_fract_y
_atom_site_fract_z
La1 La 0.166 0.000 0.334
Sm1 Sm 0.000 0.500 0.500
Sm2 Sm 0.169 0.000 0.834
Er1 Er 0.000 0.500 0.000
S1 S 0.004 0.000 0.762
S2 S 0.162 0.500 0.074
S3 S 0.164 0.500 0.590
# - Magnetization: 0.0000 μB per atom


[5]
# PBE-GGA LaSmEr2S4, optimized geometry
data_LaSmEr2S4
_chemical_formula_sum 'La2 Sm2 Er4 S8'
_symmetry_space_group_name_H-M 'I 4/m m m'
_symmetry_Int_Tables_number 139
_symmetry_space_group_name_Hall '-I 4 2'
_cell_length_a 5.629
_cell_length_b 5.629
_cell_length_c 11.269
_cell_angle_alpha 90.00
_cell_angle_beta 90.00
_cell_angle_gamma 90.00
loop_
_atom_site_label
_atom_site_type_symbol
_atom_site_fract_x
_atom_site_fract_y
_atom_site_fract_z
La1 La 0.000 0.000 0.000
Sm1 Sm 0.000 0.000 0.500
Er1 Er 0.000 0.500 0.250
S1 S 0.000 0.000 0.253
S2 S 0.000 0.500 0.000
# - Magnetization: 0.0000 μB per atom


[6]
# PBE-GGA La3SmEr3S8, optimized geometry
data_La3SmEr3S8
_chemical_formula_sum 'La9 Sm3 Er9 S24'
_symmetry_space_group_name_H-M 'R -3 m'
_symmetry_Int_Tables_number 166
_symmetry_space_group_name_Hall '-R 3 2"'
_cell_length_a 7.9298
_cell_length_b 7.9298
_cell_length_c 20.0079
_cell_angle_alpha 90.00
_cell_angle_beta 90.00
_cell_angle_gamma 120.00
loop_
_atom_site_label
_atom_site_type_symbol
_atom_site_fract_x
_atom_site_fract_y
_atom_site_fract_z
La1 La 0.0000 0.5000 0.0000
Sm1 Sm 0.0000 0.0000 0.5000
Er1 Er 0.0000 0.5000 0.5000
S1 S 0.0000 0.0000 0.2423
S2 S 0.0103 0.5052 0.7554
# - Magnetization: 0.0000 μB per atom


no.,N(E_F) (states/eV/cell),total energy (eV per atom),E_form (uncorrected) (eV/atom)
1,4.9,-6.460,-2.0299
2,5.1,-6.536,-2.0801
3,22.0,-6.545,-2.1100
4,11.7,-6.498,-2.0529
5,7.3,-6.389,-1.9788
6,22.5,-6.503,-2.0888